Record 1
The following is a meta-GGA SCAN calculation of LiCrCu at its PBEsol-relaxed geometry, from the Alexandria database.

Summary:
The energy above the most stable polymorph in this dataset is 129.3 meV per atom. Its space group is P3m1, No. 156. For the energy relative to the elements, the calculation gives 0.400 eV per atom.

```
3
Lattice="2.302 0.000 0.000 0.000 4.178 0.000 0.000 -2.089 3.618" Properties=species:S:1:pos:R:3 pbc="T T T"
Cr 0.025 0.000 0.000
Cu 1.250 0.000 2.412
Li 1.027 2.089 1.206
```

=====

Record 2
The following is a meta-GGA SCAN calculation of KReF3 at its PBEsol-relaxed geometry, from the Alexandria database.

Summary:
The value obtained for the raw total energy is -19.436 eV per atom. Its space group is Pm-3m, No. 221.

```
5
Lattice="-2.439 2.471 -2.350 -3.409 -1.837 1.607 -0.082 2.846 3.078" Properties=species:S:1:pos:R:3 pbc="T T T"
Re 0.000 0.000 0.000
K -2.965 1.740 1.168
F -1.705 -0.918 0.804
F -0.041 1.423 1.539
F -1.220 1.236 -1.175
```

=====

Record 3
The following is a meta-GGA SCAN calculation of Ti3CuSn at its PBEsol-relaxed geometry, from the Alexandria database.

Summary:
Its space group is Pm-3m, No. 221. For the energy relative to the elements, the calculation gives 0.175 eV per atom.

```
5
Lattice="4.545 0.000 0.000 0.000 4.545 0.000 0.000 0.000 4.545" Properties=species:S:1:pos:R:3 pbc="T T T"
Sn 2.272 2.272 2.272
Cu 0.000 0.000 0.000
Ti 0.000 2.272 0.000
Ti 0.000 0.000 2.272
Ti 2.272 0.000 0.000
```

=====

Record 4
The following is a meta-GGA SCAN calculation of KFeSeN2 at its PBEsol-relaxed geometry, from the Alexandria database.

Summary:
The value obtained for the raw total energy is -12.267 eV per atom. Its space group is P4/mmm, No. 123.

```
5
Lattice="3.796 0.000 0.000 0.000 3.796 0.000 0.000 0.000 4.994" Properties=species:S:1:pos:R:3 pbc="T T T"
K 1.898 1.898 2.497
Fe 0.000 0.000 0.000
Se 0.000 0.000 2.497
N 0.000 1.898 0.000
N 1.898 0.000 0.000
```

=====

no.,DOS at the Fermi energy (states/eV per cell)
1,2.6
2,3.1
3,3.7
4,2.3